--- i ---
## Pr6Ho3Tm2 (GGA-PBE)

Data for crystalline Pr6Ho3Tm2 at its relaxed geometry.

Geometry as POSCAR:
```
Pr6Ho3Tm2
1.0
6.1476 0.0000 0.0000
2.9704 6.1419 0.0000
0.1626 0.0752 9.8913
Pr Ho Tm
6 3 2
direct
0.0968 0.3923 0.3193
0.2107 0.2265 0.9524
0.2518 0.8504 0.2268
0.7482 0.1496 0.7732
0.7893 0.7735 0.0476
0.9032 0.6077 0.6807
0.3444 0.6807 0.8678
0.5000 0.5000 0.5000
0.6556 0.3193 0.1322
0.2692 0.0436 0.6010
0.7308 0.9564 0.3990
```

Properties
Mass density in Mg/m³: 7.461
DOS(E_F) in states/eV/cell: 17.62
Space-group type: P-1 (2)
Magnetic moment in Bohr magnetons per cell: 0.0

***

--- ii ---
## Pr6Ho3Tm2 (GGA-PBE)

Data for crystalline Pr6Ho3Tm2 at its relaxed geometry.

Geometry as POSCAR:
```
Pr6Ho3Tm2
1.0
-2.3786 2.3786 17.1066
2.3786 -2.3786 17.1066
2.3786 2.3786 -17.1066
Pr Ho Tm
6 3 2
direct
0.1188 0.6188 0.5000
0.2074 0.2074 0.0000
0.3812 0.8812 0.5000
0.6188 0.1188 0.5000
0.7926 0.7926 0.0000
0.8812 0.3812 0.5000
0.3077 0.3077 0.0000
0.5000 0.5000 0.0000
0.6923 0.6923 0.0000
0.0446 0.0446 0.0000
0.9554 0.9554 0.0000
```

Properties
Mass density in Mg/m³: 7.198
DOS(E_F) in states/eV/cell: 16.46
Space-group type: I4/mmm (139)
Magnetic moment in Bohr magnetons per cell: 0.0

***

Pick the least stable structure from those above. Pick: ii